<one>
4
Lattice="3.674 0.000 0.000 0.000 3.674 0.000 0.000 0.000 7.535" Properties=species:S:1:pos:R:3 comment="AcPaZn2, relaxed, DFT PBE" density_kg_m3=9613 magmom_total_mub_per_cell=0.72 spacegroup="No. 123" pbc="T T T"
Ac 1.837 1.837 3.767
Zn 0.000 0.000 1.647
Zn 0.000 0.000 5.888
Pa 1.837 1.837 0.000



<two>
4
Lattice="3.533 0.000 0.000 1.767 3.060 0.000 1.767 1.020 9.774" Properties=species:S:1:pos:R:3 comment="AcPaZn2, relaxed, DFT PBE" density_kg_m3=9255 magmom_total_mub_per_cell=0.05 spacegroup="No. 166" pbc="T T T"
Zn 1.767 1.020 2.284
Zn 5.300 3.060 7.490
Ac 3.533 2.040 4.887
Pa 0.000 0.000 0.000



Among the structures above, stability is greatest for <one>.